1.
PBE Si2AgW2, optimized geometry; formation energy without anion corrections = 0.21 eV per atom; calculated volume = 152.4 Å³/cell; E = -7.7156 eV/atom
1.0
6.9008 0.0000 0.0000
0.0000 6.9008 0.0000
0.0000 0.0000 3.2011
Si Ag W
4 2 4
Direct
0.1380 0.3620 0.0000
0.3620 0.8620 0.0000
0.6380 0.1380 0.0000
0.8620 0.6380 0.0000
0.0000 0.0000 0.0000
0.5000 0.5000 0.0000
0.1515 0.6515 0.5000
0.3485 0.1515 0.5000
0.6515 0.8485 0.5000
0.8485 0.3485 0.5000



2.
PBE AcZn2Ga2, optimized geometry; polymorph energy (0 for the lowest one) = 80 meV/atom; calculated volume = 106.9 Å³/cell; energy of formation from the pure elements = -37.8 kJ per mole of atoms; E = -2.9334 eV/atom
1.0
4.3475 0.0000 0.0000
0.0000 4.3475 0.0000
0.0000 0.0000 5.6583
Ac Zn Ga
1 2 2
Direct
0.0000 0.0000 0.0000
0.0000 0.5000 0.5000
0.5000 0.0000 0.5000
0.5000 0.5000 0.2319
0.5000 0.5000 0.7681



3.
PBE ErTm4Au2, optimized geometry; calculated volume = 204.4 Å³/cell; energy of formation from the pure elements = -27.5 kJ per mole of atoms; E = -4.4288 eV/atom
1.0
2.4403 1.4089 9.9089
-2.4403 1.4089 9.9089
0.0000 -2.8179 9.9089
Er Tm Au
1 4 2
Direct
0.0000 0.0000 0.0000
0.2013 0.2013 0.2013
0.3990 0.3990 0.3990
0.6010 0.6010 0.6010
0.7987 0.7987 0.7987
0.1011 0.1011 0.1011
0.8989 0.8989 0.8989



4.
PBE AcCdPO5, optimized geometry; formation energy without anion corrections = -2.38 eV per atom; calculated volume = 299.5 Å³/cell; E = -6.7877 eV/atom
1.0
4.2677 -4.5800 0.0000
4.2677 4.5800 0.0000
-4.0864 0.0000 7.6607
Ac Cd P O
2 2 2 10
Direct
0.0000 0.0000 0.0000
0.0000 0.0000 0.5000
0.3366 0.6634 0.7500
0.6634 0.3366 0.2500
0.3499 0.6501 0.2500
0.6501 0.3499 0.7500
0.1156 0.8844 0.7500
0.2225 0.7119 0.3787
0.2881 0.7775 0.1213
0.2982 0.3800 0.1485
0.3800 0.2982 0.6485
0.6200 0.7018 0.3515
0.7018 0.6200 0.8515
0.7119 0.2225 0.8787
0.7775 0.2881 0.6213
0.8844 0.1156 0.2500



5.
PBE ZnSiPt2, optimized geometry; formation energy without anion corrections = -0.58 eV per atom; calculated volume = 260.5 Å³/cell; E = -5.2773 eV/atom
1.0
6.5032 0.0000 0.0000
0.0000 5.4946 0.0000
0.0000 0.0000 7.2890
Zn Si Pt
4 4 8
Direct
0.0492 0.2500 0.1122
0.4508 0.7500 0.6122
0.5492 0.2500 0.3878
0.9508 0.7500 0.8878
0.1131 0.2500 0.6566
0.3869 0.7500 0.1566
0.6131 0.2500 0.8434
0.8869 0.7500 0.3434
0.2016 0.5028 0.3881
0.2016 0.9972 0.3881
0.2984 0.0028 0.8881
0.2984 0.4972 0.8881
0.7016 0.5028 0.1119
0.7016 0.9972 0.1119
0.7984 0.0028 0.6119
0.7984 0.4972 0.6119



6.
PBE AlGa2Pt5, optimized geometry; calculated volume = 242.6 Å³/cell; energy of formation from the pure elements = -66.2 kJ per mole of atoms; E = -5.6866 eV/atom
1.0
5.5062 0.0000 0.0000
0.0000 11.0221 0.0000
0.0000 0.0000 3.9970
Al Ga Pt
2 4 10
Direct
0.0000 0.0000 0.0000
0.5000 0.5000 0.0000
0.1778 0.3598 0.5000
0.3222 0.8598 0.5000
0.6778 0.1402 0.5000
0.8222 0.6402 0.5000
0.0000 0.5000 0.0000
0.0727 0.7710 0.0000
0.2061 0.1069 0.5000
0.2939 0.6069 0.5000
0.4273 0.2710 0.0000
0.5000 0.0000 0.0000
0.5727 0.7290 0.0000
0.7061 0.3931 0.5000
0.7939 0.8931 0.5000
0.9273 0.2290 0.0000